The following is a DFT calculation (GGA-PBE) of a geometry-optimized SbRu2W structure.

Uncorrected formation energy (eV per atom): 0.44

```
data_SbRu2W
_chemical_formula_sum 'Sb1 Ru2 W1'
_cell_length_a 8.863
_cell_length_b 8.863
_cell_length_c 8.863
_cell_angle_alpha 19.17
_cell_angle_beta 19.17
_cell_angle_gamma 19.17
_space_group_name_H-M_alt 'P 1'
_space_group_IT_number 1
loop_
_space_group_symop_operation_xyz
'x,y,z'
loop_
_atom_site_label
_atom_site_type_symbol
_atom_site_fract_x
_atom_site_fract_y
_atom_site_fract_z
Sb1 Sb 0.000 0.000 0.000
Ru1 Ru 0.253 0.253 0.253
Ru2 Ru 0.503 0.503 0.503
W1 W 0.757 0.757 0.757
```

The following is a DFT calculation (GGA-PBE) of a geometry-optimized SbRuW2 structure.

Uncorrected formation energy (eV per atom): 0.43

```
data_SbRuW2
_chemical_formula_sum 'Sb1 Ru1 W2'
_cell_length_a 8.862
_cell_length_b 8.862
_cell_length_c 8.862
_cell_angle_alpha 19.66
_cell_angle_beta 19.66
_cell_angle_gamma 19.66
_space_group_name_H-M_alt 'P 1'
_space_group_IT_number 1
loop_
_space_group_symop_operation_xyz
'x,y,z'
loop_
_atom_site_label
_atom_site_type_symbol
_atom_site_fract_x
_atom_site_fract_y
_atom_site_fract_z
Sb1 Sb 0.000 0.000 0.000
Ru1 Ru 0.754 0.754 0.754
W1 W 0.245 0.245 0.245
W2 W 0.497 0.497 0.497
```

The following is a DFT calculation (GGA-PBE) of a geometry-optimized Sb2RuW structure.

E above lowest polymorph (meV per atom): 276.6
Uncorrected formation energy (eV per atom): 0.42

```
data_Sb2RuW
_chemical_formula_sum 'Sb2 Ru1 W1'
_cell_length_a 6.484
_cell_length_b 6.484
_cell_length_c 6.484
_cell_angle_alpha 150.97
_cell_angle_beta 143.71
_cell_angle_gamma 47.12
_space_group_name_H-M_alt 'P 1'
_space_group_IT_number 1
loop_
_space_group_symop_operation_xyz
'x,y,z'
loop_
_atom_site_label
_atom_site_type_symbol
_atom_site_fract_x
_atom_site_fract_y
_atom_site_fract_z
Sb1 Sb 0.000 0.000 0.000
Sb2 Sb 0.745 0.245 0.500
Ru1 Ru 0.558 0.558 0.000
W1 W 0.342 0.842 0.500
```

The following is a DFT calculation (GGA-PBE) of a geometry-optimized Sb2RuW structure.

E above lowest polymorph (meV per atom): 686.4
Uncorrected formation energy (eV per atom): 0.83

```
data_Sb2RuW
_chemical_formula_sum 'Sb2 Ru1 W1'
_cell_length_a 4.761
_cell_length_b 4.761
_cell_length_c 4.761
_cell_angle_alpha 60.00
_cell_angle_beta 60.00
_cell_angle_gamma 60.00
_space_group_name_H-M_alt 'P 1'
_space_group_IT_number 1
loop_
_space_group_symop_operation_xyz
'x,y,z'
loop_
_atom_site_label
_atom_site_type_symbol
_atom_site_fract_x
_atom_site_fract_y
_atom_site_fract_z
Sb1 Sb 0.000 0.000 0.000
Sb2 Sb 0.250 0.250 0.250
Ru1 Ru 0.500 0.500 0.500
W1 W 0.750 0.750 0.750
```

The following is a DFT calculation (GGA-PBE) of a geometry-optimized SbRuW2 structure.

Uncorrected formation energy (eV per atom): 0.33

```
data_SbRuW2
_chemical_formula_sum 'Sb1 Ru1 W2'
_cell_length_a 3.189
_cell_length_b 3.189
_cell_length_c 6.669
_cell_angle_alpha 90.00
_cell_angle_beta 90.00
_cell_angle_gamma 90.00
_space_group_name_H-M_alt 'P 1'
_space_group_IT_number 1
loop_
_space_group_symop_operation_xyz
'x,y,z'
loop_
_atom_site_label
_atom_site_type_symbol
_atom_site_fract_x
_atom_site_fract_y
_atom_site_fract_z
Sb1 Sb 0.000 0.000 0.000
Ru1 Ru 0.500 0.500 0.736
W1 W 0.000 0.000 0.501
W2 W 0.500 0.500 0.272
```

The following is a DFT calculation (GGA-PBE) of a geometry-optimized SbRuW2 structure.

Uncorrected formation energy (eV per atom): 0.32

```
data_SbRuW2
_chemical_formula_sum 'Sb1 Ru1 W2'
_cell_length_a 5.209
_cell_length_b 5.209
_cell_length_c 5.209
_cell_angle_alpha 136.57
_cell_angle_beta 136.57
_cell_angle_gamma 63.10
_space_group_name_H-M_alt 'P 1'
_space_group_IT_number 1
loop_
_space_group_symop_operation_xyz
'x,y,z'
loop_
_atom_site_label
_atom_site_type_symbol
_atom_site_fract_x
_atom_site_fract_y
_atom_site_fract_z
Sb1 Sb 0.000 0.000 0.000
Ru1 Ru 0.500 0.500 0.000
W1 W 0.250 0.750 0.500
W2 W 0.750 0.250 0.500
```

The following is a DFT calculation (GGA-PBE) of a geometry-optimized SbRu2W structure.

Uncorrected formation energy (eV per atom): 0.29

```
data_SbRu2W
_chemical_formula_sum 'Sb1 Ru2 W1'
_cell_length_a 4.755
_cell_length_b 4.755
_cell_length_c 4.923
_cell_angle_alpha 98.72
_cell_angle_beta 98.72
_cell_angle_gamma 36.35
_space_group_name_H-M_alt 'P 1'
_space_group_IT_number 1
loop_
_space_group_symop_operation_xyz
'x,y,z'
loop_
_atom_site_label
_atom_site_type_symbol
_atom_site_fract_x
_atom_site_fract_y
_atom_site_fract_z
Sb1 Sb 0.000 0.000 0.000
Ru1 Ru 0.242 0.242 0.728
Ru2 Ru 0.758 0.758 0.272
W1 W 0.500 0.500 0.500
```

The following is a DFT calculation (GGA-PBE) of a geometry-optimized SbRuW2 structure.

Uncorrected formation energy (eV per atom): 0.45

```
data_SbRuW2
_chemical_formula_sum 'Sb1 Ru1 W2'
_cell_length_a 4.926
_cell_length_b 4.926
_cell_length_c 4.926
_cell_angle_alpha 131.15
_cell_angle_beta 131.15
_cell_angle_gamma 71.58
_space_group_name_H-M_alt 'P 1'
_space_group_IT_number 1
loop_
_space_group_symop_operation_xyz
'x,y,z'
loop_
_atom_site_label
_atom_site_type_symbol
_atom_site_fract_x
_atom_site_fract_y
_atom_site_fract_z
Sb1 Sb 0.000 0.000 0.000
Ru1 Ru 0.750 0.250 0.500
W1 W 0.250 0.750 0.500
W2 W 0.500 0.500 0.000
```

The following is a DFT calculation (GGA-PBE) of a geometry-optimized SbRu2W structure.

Uncorrected formation energy (eV per atom): 0.19

```
data_SbRu2W
_chemical_formula_sum 'Sb1 Ru2 W1'
_cell_length_a 4.742
_cell_length_b 4.742
_cell_length_c 4.742
_cell_angle_alpha 128.48
_cell_angle_beta 128.48
_cell_angle_gamma 75.84
_space_group_name_H-M_alt 'P 1'
_space_group_IT_number 1
loop_
_space_group_symop_operation_xyz
'x,y,z'
loop_
_atom_site_label
_atom_site_type_symbol
_atom_site_fract_x
_atom_site_fract_y
_atom_site_fract_z
Sb1 Sb 0.000 0.000 0.000
Ru1 Ru 0.250 0.750 0.500
Ru2 Ru 0.750 0.250 0.500
W1 W 0.500 0.500 0.000
```

The following is a DFT calculation (GGA-PBE) of a geometry-optimized Sb2RuW structure.

E above lowest polymorph (meV per atom): 0.0
Uncorrected formation energy (eV per atom): 0.15

```
data_Sb2RuW
_chemical_formula_sum 'Sb2 Ru1 W1'
_cell_length_a 3.022
_cell_length_b 3.022
_cell_length_c 9.215
_cell_angle_alpha 90.00
_cell_angle_beta 90.00
_cell_angle_gamma 90.00
_space_group_name_H-M_alt 'P 1'
_space_group_IT_number 1
loop_
_space_group_symop_operation_xyz
'x,y,z'
loop_
_atom_site_label
_atom_site_type_symbol
_atom_site_fract_x
_atom_site_fract_y
_atom_site_fract_z
Sb1 Sb 0.000 0.000 0.000
Sb2 Sb 0.500 0.500 0.389
Ru1 Ru 0.500 0.500 0.798
W1 W 0.000 0.000 0.615
```

The following is a DFT calculation (GGA-PBE) of a geometry-optimized SbRu2W structure.

Uncorrected formation energy (eV per atom): 0.26

```
data_SbRu2W
_chemical_formula_sum 'Sb1 Ru2 W1'
_cell_length_a 5.003
_cell_length_b 5.003
_cell_length_c 5.003
_cell_angle_alpha 134.03
_cell_angle_beta 134.03
_cell_angle_gamma 67.05
_space_group_name_H-M_alt 'P 1'
_space_group_IT_number 1
loop_
_space_group_symop_operation_xyz
'x,y,z'
loop_
_atom_site_label
_atom_site_type_symbol
_atom_site_fract_x
_atom_site_fract_y
_atom_site_fract_z
Sb1 Sb 0.000 0.000 0.000
Ru1 Ru 0.500 0.500 0.000
Ru2 Ru 0.750 0.250 0.500
W1 W 0.250 0.750 0.500
```

The following is a DFT calculation (GGA-PBE) of a geometry-optimized Sb2RuW structure.

E above lowest polymorph (meV per atom): 227.0
Uncorrected formation energy (eV per atom): 0.37

```
data_Sb2RuW
_chemical_formula_sum 'Sb2 Ru1 W1'
_cell_length_a 3.029
_cell_length_b 4.290
_cell_length_c 5.755
_cell_angle_alpha 90.00
_cell_angle_beta 90.00
_cell_angle_gamma 90.00
_space_group_name_H-M_alt 'P 1'
_space_group_IT_number 1
loop_
_space_group_symop_operation_xyz
'x,y,z'
loop_
_atom_site_label
_atom_site_type_symbol
_atom_site_fract_x
_atom_site_fract_y
_atom_site_fract_z
Sb1 Sb 0.000 0.000 0.000
Sb2 Sb 0.500 0.500 0.355
Ru1 Ru 0.500 0.500 0.821
W1 W 0.000 0.000 0.527
```

The following is a DFT calculation (GGA-PBE) of a geometry-optimized Sb2RuW structure.

E above lowest polymorph (meV per atom): 177.7
Uncorrected formation energy (eV per atom): 0.32

```
data_Sb2RuW
_chemical_formula_sum 'Sb2 Ru1 W1'
_cell_length_a 10.867
_cell_length_b 10.867
_cell_length_c 10.867
_cell_angle_alpha 16.24
_cell_angle_beta 16.24
_cell_angle_gamma 16.24
_space_group_name_H-M_alt 'P 1'
_space_group_IT_number 1
loop_
_space_group_symop_operation_xyz
'x,y,z'
loop_
_atom_site_label
_atom_site_type_symbol
_atom_site_fract_x
_atom_site_fract_y
_atom_site_fract_z
Sb1 Sb 0.000 0.000 0.000
Sb2 Sb 0.201 0.201 0.201
Ru1 Ru 0.732 0.732 0.732
W1 W 0.463 0.463 0.463
```

The following is a DFT calculation (GGA-PBE) of a geometry-optimized YSb12Ru4 structure.

Uncorrected formation energy (eV per atom): -0.29

```
data_YSb12Ru4
_chemical_formula_sum 'Y1 Sb12 Ru4'
_cell_length_a 8.120
_cell_length_b 8.120
_cell_length_c 8.120
_cell_angle_alpha 109.47
_cell_angle_beta 109.47
_cell_angle_gamma 109.47
_space_group_name_H-M_alt 'P 1'
_space_group_IT_number 1
loop_
_space_group_symop_operation_xyz
'x,y,z'
loop_
_atom_site_label
_atom_site_type_symbol
_atom_site_fract_x
_atom_site_fract_y
_atom_site_fract_z
Y1 Y 0.000 0.000 0.000
Sb1 Sb 0.157 0.339 0.496
Sb2 Sb 0.157 0.661 0.819
Sb3 Sb 0.181 0.843 0.339
Sb4 Sb 0.339 0.181 0.843
Sb5 Sb 0.339 0.496 0.157
Sb6 Sb 0.496 0.157 0.339
Sb7 Sb 0.504 0.843 0.661
Sb8 Sb 0.661 0.504 0.843
Sb9 Sb 0.661 0.819 0.157
Sb10 Sb 0.819 0.157 0.661
Sb11 Sb 0.843 0.339 0.181
Sb12 Sb 0.843 0.661 0.504
Ru1 Ru 0.000 0.000 0.500
Ru2 Ru 0.000 0.500 0.000
Ru3 Ru 0.500 0.000 0.000
Ru4 Ru 0.500 0.500 0.500
```

The following is a DFT calculation (GGA-PBE) of a geometry-optimized Y2Sb2Ru structure.

E above lowest polymorph (meV per atom): 0.0
Uncorrected formation energy (eV per atom): -0.66

```
data_Y2Sb2Ru
_chemical_formula_sum 'Y4 Sb4 Ru2'
_cell_length_a 7.015
_cell_length_b 7.015
_cell_length_c 4.785
_cell_angle_alpha 90.00
_cell_angle_beta 90.00
_cell_angle_gamma 90.00
_space_group_name_H-M_alt 'P 1'
_space_group_IT_number 1
loop_
_space_group_symop_operation_xyz
'x,y,z'
loop_
_atom_site_label
_atom_site_type_symbol
_atom_site_fract_x
_atom_site_fract_y
_atom_site_fract_z
Y1 Y 0.171 0.329 0.000
Y2 Y 0.329 0.829 0.000
Y3 Y 0.671 0.171 0.000
Y4 Y 0.829 0.671 0.000
Sb1 Sb 0.148 0.648 0.500
Sb2 Sb 0.352 0.148 0.500
Sb3 Sb 0.648 0.852 0.500
Sb4 Sb 0.852 0.352 0.500
Ru1 Ru 0.000 0.000 0.500
Ru2 Ru 0.500 0.500 0.500
```